Record 1
{"formula": "RePN2", "functional": "GGA-PBE", "state": "relaxed", "formation_energy_uncorrected_ev_per_atom": 0.13, "dos_at_fermi_per_ev_atom": 0.694, "energy_ev_per_cell": -34.00, "lattice_angstrom": [[-3.2347, -4.1794, 3.5000], [-0.9483, -3.8655, 4.9336], [-2.9746, -2.0752, 5.1987]], "species": ["N", "N", "P", "Re"], "frac_coords": [[0.1141, 0.1141, 0.1141], [0.8859, 0.8859, 0.8859], [0.5000, 0.5000, 0.5000], [0.0000, 0.0000, 0.0000]]}

=====

Record 2
{"formula": "CsK2Sn2I7", "functional": "GGA-PBE", "state": "relaxed", "formation_energy_uncorrected_ev_per_atom": -0.99, "energy_ev_per_cell": -33.76, "lattice_angstrom": [[-3.6992, 0.0735, -5.1261], [-2.1090, -6.4787, 1.4291], [-7.5826, 8.3017, 9.4892]], "species": ["I", "I", "I", "I", "I", "I", "I", "Cs", "Sn", "Sn", "K", "K"], "frac_coords": [[0.2733, 0.3070, 0.5466], [0.5000, 0.4366, 0.0000], [0.5976, 0.0416, 0.1953], [0.7267, 0.7604, 0.4534], [0.4024, 0.8463, 0.8047], [0.1149, 0.5760, 0.2299], [0.8851, 0.3461, 0.7701], [0.0000, 0.0780, 0.0000], [0.6099, 0.6317, 0.2199], [0.3901, 0.4118, 0.7801], [0.7230, 0.2551, 0.4460], [0.2770, 0.8091, 0.5540]]}